Computed, not measured: Pr4AsOsBr2 after structural relaxation at the PBE level of DFT. Values from VASP.

Symmetry: No. 10
Density in Mg/m³: 6.779
E_form (uncorrected) in eV per atom: -1.0454

Structure (Quantum ESPRESSO input):
```
&SYSTEM
  ibrav = 0, nat = 8, ntyp = 4
/
ATOMIC_SPECIES
Pr 140.91 Pr.upf
As 74.92 As.upf
Os 190.23 Os.upf
Br 79.90 Br.upf
ATOMIC_POSITIONS crystal
Pr 0.219 0.000 0.201
Pr 0.247 0.500 0.801
Pr 0.753 0.500 0.199
Pr 0.781 0.000 0.799
As 0.500 0.000 0.000
Os 0.000 0.500 0.000
Br 0.000 0.000 0.500
Br 0.500 0.500 0.500
CELL_PARAMETERS angstrom
7.616 0.000 0.000
0.000 4.201 0.000
-2.228 0.000 7.569
```



Computed, not measured: HfAlIn2Bi after structural relaxation at the PBE level of DFT. Values from VASP.

Energy relative to the elements in eV per atom: 0.78
Symmetry: No. 123
Density in Mg/m³: 7.369

Structure (Quantum ESPRESSO input):
```
&SYSTEM
  ibrav = 0, nat = 5, ntyp = 4
/
ATOMIC_SPECIES
Hf 178.49 Hf.upf
Al 26.98 Al.upf
In 114.82 In.upf
Bi 208.98 Bi.upf
ATOMIC_POSITIONS crystal
Hf 0.000 0.000 0.000
Al 0.500 0.500 0.500
In 0.000 0.500 0.500
In 0.500 0.000 0.500
Bi 0.500 0.500 0.000
CELL_PARAMETERS angstrom
5.122 0.000 0.000
0.000 5.122 0.000
0.000 0.000 5.532
```



Computed, not measured: Na3TaPt2Se6 after structural relaxation at the PBE level of DFT. Values from VASP.

Symmetry: No. 12
Density in Mg/m³: 6.896
E_form (uncorrected) in eV per atom: -0.5773

Structure (Quantum ESPRESSO input):
```
&SYSTEM
  ibrav = 0, nat = 12, ntyp = 4
/
ATOMIC_SPECIES
Na 22.99 Na.upf
Ta 180.95 Ta.upf
Pt 195.08 Pt.upf
Se 78.96 Se.upf
ATOMIC_POSITIONS crystal
Na 0.000 0.000 0.000
Na 0.332 0.668 0.000
Na 0.668 0.332 0.000
Ta 0.500 0.500 0.500
Pt 0.167 0.833 0.500
Pt 0.833 0.167 0.500
Se 0.100 0.434 0.301
Se 0.231 0.231 0.699
Se 0.434 0.100 0.301
Se 0.566 0.900 0.699
Se 0.769 0.769 0.301
Se 0.900 0.566 0.699
CELL_PARAMETERS angstrom
3.398 -5.865 0.000
3.398 5.865 0.000
-2.276 0.000 6.729
```



Computed, not measured: EuHoTmIn after structural relaxation at the PBE level of DFT. Values from VASP.

Energy relative to the elements in eV per atom: -0.10
Symmetry: No. 216
Density in Mg/m³: 8.602

Structure (Quantum ESPRESSO input):
```
&SYSTEM
  ibrav = 0, nat = 4, ntyp = 4
/
ATOMIC_SPECIES
Eu 151.96 Eu.upf
Ho 164.93 Ho.upf
Tm 168.93 Tm.upf
In 114.82 In.upf
ATOMIC_POSITIONS crystal
Eu 0.000 0.000 0.000
Ho 0.250 0.250 0.250
Tm 0.750 0.750 0.750
In 0.500 0.500 0.500
CELL_PARAMETERS angstrom
0.000 3.870 3.870
3.870 0.000 3.870
3.870 3.870 0.000
```



Computed, not measured: GeAsP after structural relaxation at the PBE level of DFT. Values from VASP.

Polymorph energy (0 for the lowest one) in meV/atom: 83.8
Energy relative to the elements in eV per atom: 0.08
Symmetry: No. 12
Density in Mg/m³: 4.815

Structure (Quantum ESPRESSO input):
```
&SYSTEM
  ibrav = 0, nat = 6, ntyp = 3
/
ATOMIC_SPECIES
Ge 72.64 Ge.upf
As 74.92 As.upf
P 30.97 P.upf
ATOMIC_POSITIONS crystal
Ge 0.028 0.028 0.282
Ge 0.972 0.972 0.718
As 0.320 0.320 0.048
As 0.680 0.680 0.952
P 0.349 0.349 0.634
P 0.651 0.651 0.366
CELL_PARAMETERS angstrom
6.532 -1.845 0.000
6.532 1.845 0.000
-1.584 0.000 5.108
```



Computed, not measured: BIrN2O after structural relaxation at the PBE level of DFT. Values from VASP.

Symmetry: No. 123
Density in Mg/m³: 6.929
E_form (uncorrected) in eV per atom: 1.6354

Structure (Quantum ESPRESSO input):
```
&SYSTEM
  ibrav = 0, nat = 5, ntyp = 4
/
ATOMIC_SPECIES
B 10.81 B.upf
Ir 192.22 Ir.upf
N 14.01 N.upf
O 16.00 O.upf
ATOMIC_POSITIONS crystal
B 0.000 0.000 0.000
Ir 0.500 0.500 0.500
N 0.000 0.500 0.500
N 0.500 0.000 0.500
O 0.500 0.500 0.000
CELL_PARAMETERS angstrom
3.758 0.000 0.000
0.000 3.758 0.000
0.000 0.000 4.193
```